Entry 1:
An optimized crystal structure of Li3Sm3HfSe8. Source: the Alexandria database, functional PBE.

POSCAR file:
```
Li3Sm3HfSe8
1.0
4.104 2.370 6.504
-4.104 2.370 6.504
0.000 -4.739 6.504
Li Sm Hf Se
3 3 1 8
Direct
0.000 0.500 0.500
0.500 0.000 0.500
0.500 0.500 0.000
0.000 0.000 0.500
0.000 0.500 0.000
0.500 0.000 0.000
0.500 0.500 0.500
0.253 0.253 0.253
0.264 0.264 0.728
0.264 0.728 0.264
0.272 0.736 0.736
0.728 0.264 0.264
0.736 0.272 0.736
0.736 0.736 0.272
0.747 0.747 0.747
```

Summary:
* space-group type: No. 166
* spin magnetization: 0.00 Bohr magnetons per cell
* calculated density: 5.61 Mg/m³

=====

Entry 2:
An optimized crystal structure of LiSm2HfSe5. Source: the Alexandria database, functional PBE.

POSCAR file:
```
LiSm2HfSe5
1.0
1.999 -8.577 0.000
1.999 8.577 0.000
0.000 0.000 12.151
Li Sm Hf Se
2 4 2 10
Direct
0.056 0.944 0.500
0.944 0.056 0.000
0.370 0.630 0.351
0.393 0.607 0.735
0.607 0.393 0.235
0.630 0.370 0.851
0.303 0.697 0.063
0.697 0.303 0.563
0.004 0.996 0.824
0.143 0.857 0.049
0.193 0.807 0.407
0.218 0.782 0.715
0.448 0.552 0.109
0.552 0.448 0.609
0.782 0.218 0.215
0.807 0.193 0.907
0.857 0.143 0.549
0.996 0.004 0.324
```

Summary:
* space-group type: No. 36
* spin magnetization: 0.00 Bohr magnetons per cell
* calculated density: 7.02 Mg/m³

=====

Entry 3:
An optimized crystal structure of Li3Sm2HfSe6. Source: the Alexandria database, functional PBE.

POSCAR file:
```
Li3Sm2HfSe6
1.0
3.479 -6.028 0.000
3.479 6.028 0.000
-2.326 0.000 6.521
Li Sm Hf Se
3 2 1 6
Direct
0.000 0.000 0.000
0.337 0.663 0.000
0.663 0.337 0.000
0.167 0.833 0.500
0.833 0.167 0.500
0.500 0.500 0.500
0.102 0.414 0.243
0.272 0.272 0.752
0.414 0.102 0.243
0.586 0.898 0.757
0.728 0.728 0.248
0.898 0.586 0.757
```

Summary:
* space-group type: No. 12
* spin magnetization: 0.00 Bohr magnetons per cell
* calculated density: 5.91 Mg/m³

=====

Table of E_form (uncorrected) (kcal/mol of atoms), in record order: -37.07; -35.77; -35.13
Table of VASP energy (eV/cell), in record order: -81.84; -105.38; -64.32